Record 1
## Ca3ScPa2P6 (PBE-GGA)

Data for a relaxed structure of Ca3ScPa2P6.

Values from the calculation:
Its space group is C2/m (12). Its total magnetization is 0.0 μB per cell. The formation energy is -1.2922 eV per atom. Its calculated total energy is -6.61 eV per atom.

Lattice parameters (Å, degrees): 6.9432 6.9432 7.0064 99.51 99.51 120.00
Atoms (fractional coordinates):
Ca  0.0000  0.0000  0.0000
Ca  0.3332  0.6668  0.0000
Ca  0.6668  0.3332  0.0000
Sc  0.5000  0.5000  0.5000
Pa  0.1667  0.8333  0.5000
Pa  0.8333  0.1667  0.5000
P  0.0927  0.4245  0.2733
P  0.2441  0.2441  0.7278
P  0.4245  0.0927  0.2733
P  0.5755  0.9073  0.7267
P  0.7559  0.7559  0.2722
P  0.9073  0.5755  0.7267

***

Record 2
## Rb2BrF (PBE-GGA)

Data for a relaxed structure of Rb2BrF.

Values from the calculation:
Its space group is C2/m (12). Its total magnetization is 0.2 μB per cell. Its calculated total energy is -3.55 eV per atom. The excess energy over the best structure of this formula in the dataset is 0 meV per atom. The uncorrected formation energy is -2.1793 eV per atom.

Lattice parameters (Å, degrees): 5.1867 5.1867 10.3140 90.01 90.01 90.00
Atoms (fractional coordinates):
Rb  0.2504  0.2504  0.3457
Rb  0.2499  0.7501  0.0000
Rb  0.7501  0.2499  0.0000
Rb  0.7496  0.7496  0.6543
Br  0.2496  0.2496  0.6857
Br  0.7504  0.7504  0.3143
F  0.2501  0.2501  0.0881
F  0.7499  0.7499  0.9119

***

Record 3
## Tb3Pm8Er3 (PBE-GGA)

Data for a relaxed structure of Tb3Pm8Er3.

Values from the calculation:
Its space group is Immm (71). Its total magnetization is 0.0 μB per cell. The formation energy is 0.1061 eV per atom. Its calculated total energy is -4.58 eV per atom.

Lattice parameters (Å, degrees): 9.7311 9.7311 9.7311 146.13 112.00 78.17
Atoms (fractional coordinates):
Tb  0.0000  0.0000  0.0000
Tb  0.1797  0.6797  0.5000
Tb  0.8203  0.3203  0.5000
Pm  0.1183  0.2762  0.8421
Pm  0.2344  0.8964  0.3380
Pm  0.4341  0.2762  0.1579
Pm  0.4416  0.1036  0.3380
Pm  0.5584  0.8964  0.6620
Pm  0.5659  0.7238  0.8421
Pm  0.7656  0.1036  0.6620
Pm  0.8817  0.7238  0.1579
Er  0.1996  0.5000  0.6996
Er  0.5000  0.5000  0.0000
Er  0.8004  0.5000  0.3004

***

Record 4
## GaAg2BO4 (PBE-GGA)

Data for a relaxed structure of GaAg2BO4.

Values from the calculation:
Its space group is I-4 (82). Its total magnetization is 0.0 μB per cell. Its calculated total energy is -5.70 eV per atom. The uncorrected formation energy is -1.2982 eV per atom.

Lattice parameters (Å, degrees): 5.1744 5.1744 5.1744 122.87 122.87 85.10
Atoms (fractional coordinates):
Ga  0.0000  0.0000  0.0000
Ag  0.2500  0.7500  0.5000
Ag  0.5000  0.5000  0.0000
B  0.7500  0.2500  0.5000
O  0.4239  0.0115  0.1576
O  0.7337  0.5761  0.5876
O  0.8539  0.2663  0.8424
O  0.9885  0.1461  0.4124

***

Record 5
## Ga2BiPt2 (PBE-GGA)

Data for a relaxed structure of Ga2BiPt2.

Values from the calculation:
Its space group is P4/mbm (127). Its total magnetization is 0.0 μB per cell. The formation energy is -0.2671 eV per atom. Its calculated total energy is -4.67 eV per atom. The excess energy over the best structure of this formula in the dataset is 186 meV per atom.

Lattice parameters (Å, degrees): 7.9419 7.9419 2.9015 90.00 90.00 90.00
Atoms (fractional coordinates):
Ga  0.1270  0.3730  0.0000
Ga  0.3730  0.8730  0.0000
Ga  0.6270  0.1270  0.0000
Ga  0.8730  0.6270  0.0000
Bi  0.0000  0.0000  0.0000
Bi  0.5000  0.5000  0.0000
Pt  0.1640  0.6640  0.5000
Pt  0.3360  0.1640  0.5000
Pt  0.6640  0.8360  0.5000
Pt  0.8360  0.3360  0.5000

***

Record 6
## Tb3TlHg4 (PBE-GGA)

Data for a relaxed structure of Tb3TlHg4.

Values from the calculation:
Its space group is Immm (71). Its total magnetization is 0.0 μB per cell. The formation energy is -0.2798 eV per atom. Its calculated total energy is -2.46 eV per atom. The excess energy over the best structure of this formula in the dataset is 120 meV per atom.

Lattice parameters (Å, degrees): 9.5965 9.5965 9.5965 158.50 136.52 49.00
Atoms (fractional coordinates):
Tb  0.0000  0.0000  0.0000
Tb  0.2802  0.7802  0.5000
Tb  0.7198  0.2198  0.5000
Tl  0.5000  0.5000  0.0000
Hg  0.0876  0.3715  0.7162
Hg  0.3447  0.6285  0.7162
Hg  0.6553  0.3715  0.2838
Hg  0.9124  0.6285  0.2838

***

Record 7
## AcThGe4 (PBE-GGA)

Data for a relaxed structure of AcThGe4.

Values from the calculation:
Its space group is I-4m2 (119). Its total magnetization is 0.0 μB per cell. The formation energy is -0.5601 eV per atom. Its calculated total energy is -5.56 eV per atom. The excess energy over the best structure of this formula in the dataset is 0 meV per atom.

Lattice parameters (Å, degrees): 8.9082 8.9082 8.9082 152.70 152.70 38.99
Atoms (fractional coordinates):
Ac  0.0000  0.0000  0.0000
Th  0.7500  0.2500  0.5000
Ge  0.1731  0.6731  0.5000
Ge  0.3269  0.8269  0.5000
Ge  0.4122  0.4122  0.0000
Ge  0.5878  0.5878  0.0000

***

Record 8
## La3Sm4S8 (PBE-GGA)

Data for a relaxed structure of La3Sm4S8.

Values from the calculation:
Its space group is C2/m (12). Its total magnetization is 0.0 μB per cell. Its calculated total energy is -6.54 eV per atom. The uncorrected formation energy is -2.0949 eV per atom.

Lattice parameters (Å, degrees): 8.1477 8.1477 8.1055 119.81 119.81 90.02
Atoms (fractional coordinates):
La  0.0000  0.0000  0.0000
La  0.0000  0.5000  0.0000
La  0.5000  0.0000  0.0000
Sm  0.0000  0.5000  0.5000
Sm  0.5000  0.0000  0.5000
Sm  0.5000  0.5000  0.0000
Sm  0.5000  0.5000  0.5000
S  0.2533  0.7467  0.0000
S  0.2538  0.7462  0.5000
S  0.2560  0.2560  0.5064
S  0.2583  0.2583  0.0094
S  0.7417  0.7417  0.9906
S  0.7440  0.7440  0.4936
S  0.7462  0.2538  0.5000
S  0.7467  0.2533  0.0000

***

Record 9
## BaScO2F (PBE-GGA)

Data for a relaxed structure of BaScO2F.

Values from the calculation:
Its space group is P4/mmm (123). Its total magnetization is 0.0 μB per cell. Its calculated total energy is -7.39 eV per atom. The uncorrected formation energy is -3.3771 eV per atom.

Lattice parameters (Å, degrees): 4.2050 4.2050 4.2132 90.00 90.00 90.00
Atoms (fractional coordinates):
Ba  0.0000  0.0000  0.0000
Sc  0.5000  0.5000  0.5000
O  0.0000  0.5000  0.5000
O  0.5000  0.0000  0.5000
F  0.5000  0.5000  0.0000

***

Record 10
## CaCu3Ge2 (PBE-GGA)

Data for a relaxed structure of CaCu3Ge2.

Values from the calculation:
Its space group is C2/m (12). Its total magnetization is 0.0 μB per cell. The formation energy is -0.2626 eV per atom. Its calculated total energy is -4.18 eV per atom.

Lattice parameters (Å, degrees): 7.9861 7.9861 7.2967 114.04 114.04 28.99
Atoms (fractional coordinates):
Ca  0.1501  0.1501  0.0682
Ca  0.8499  0.8499  0.9318
Cu  0.0378  0.0378  0.3789
Cu  0.3129  0.3129  0.5470
Cu  0.4109  0.4109  0.3419
Cu  0.5891  0.5891  0.6581
Cu  0.6871  0.6871  0.4530
Cu  0.9622  0.9622  0.6211
Ge  0.1922  0.1922  0.6859
Ge  0.4775  0.4775  0.8155
Ge  0.5225  0.5225  0.1845
Ge  0.8078  0.8078  0.3141

***

Record 11
## HfPtC3 (PBE-GGA)

Data for a relaxed structure of HfPtC3.

Values from the calculation:
Its space group is Pm-3m (221). Its total magnetization is 0.0 μB per cell. The formation energy is 1.9268 eV per atom. Its calculated total energy is -6.81 eV per atom. The excess energy over the best structure of this formula in the dataset is 0 meV per atom.

Lattice parameters (Å, degrees): 3.9914 3.9914 3.9914 90.00 90.00 90.00
Atoms (fractional coordinates):
Hf  0.0000  0.0000  0.0000
Pt  0.5000  0.5000  0.5000
C  0.0000  0.5000  0.5000
C  0.5000  0.0000  0.5000
C  0.5000  0.5000  0.0000

***

Record 12
## HgTe2Pb (PBE-GGA)

Data for a relaxed structure of HgTe2Pb.

Values from the calculation:
Its space group is R-3m (166). Its total magnetization is 0.0 μB per cell. Its calculated total energy is -2.75 eV per atom. The uncorrected formation energy is -0.1723 eV per atom.

Lattice parameters (Å, degrees): 8.8419 8.8419 8.8419 33.24 33.24 33.24
Atoms (fractional coordinates):
Hg  0.0000  0.0000  0.0000
Te  0.1062  0.1062  0.1062
Te  0.8938  0.8938  0.8938
Pb  0.5000  0.5000  0.5000

***

Please write out number 3 again, unchanged.
## Tb3Pm8Er3 (PBE-GGA)

Data for a relaxed structure of Tb3Pm8Er3.

Values from the calculation:
Its space group is Immm (71). Its total magnetization is 0.0 μB per cell. The formation energy is 0.1061 eV per atom. Its calculated total energy is -4.58 eV per atom.

Lattice parameters (Å, degrees): 9.7311 9.7311 9.7311 146.13 112.00 78.17
Atoms (fractional coordinates):
Tb  0.0000  0.0000  0.0000
Tb  0.1797  0.6797  0.5000
Tb  0.8203  0.3203  0.5000
Pm  0.1183  0.2762  0.8421
Pm  0.2344  0.8964  0.3380
Pm  0.4341  0.2762  0.1579
Pm  0.4416  0.1036  0.3380
Pm  0.5584  0.8964  0.6620
Pm  0.5659  0.7238  0.8421
Pm  0.7656  0.1036  0.6620
Pm  0.8817  0.7238  0.1579
Er  0.1996  0.5000  0.6996
Er  0.5000  0.5000  0.0000
Er  0.8004  0.5000  0.3004